# 1
The following is a PBE calculation of a geometry-optimized TiBe2Pt2 structure, from Alexandria.

Properties
- Theoretical density: 11.21 g/cm3
- Magnetic moment: 0.000 μB/atom
- Energy above the lowest structure with this stoichiometry: 0.133 eV per atom
- V: 67.6 Å³/cell
- Space group: I4/mmm
- Energy relative to the elements: -0.62 eV per atom

Lattice parameters (Å, degrees): 3.3066 3.3066 6.6083 75.51 75.51 90.00
Positions (direct):
Be 0.7500 0.2500 0.5000
Be 0.2500 0.7500 0.5000
Pt 0.3881 0.3881 0.2238
Pt 0.6119 0.6119 0.7762
Ti 0.0000 0.0000 0.0000

# 2
The following is a PBE calculation of a geometry-optimized SbRh4 structure, from Alexandria.

Properties
- Theoretical density: 10.39 g/cm3
- Magnetic moment: 0.303 μB/atom
- Energy above the lowest structure with this stoichiometry: 0.382 eV per atom
- V: 85.2 Å³/cell
- Formation energy without anion corrections: 0.221 eV/atom
- Space group: I4/mmm

Lattice parameters (Å, degrees): 7.1353 7.1353 7.1353 150.99 150.99 41.49
Each line ends with the local moment (μB).
Positions (direct):
Sb 0.0000 0.0000 0.0000  -0.01
Rh 0.7500 0.2500 0.5000  0.43
Rh 0.2500 0.7500 0.5000  0.43
Rh 0.6011 0.6011 0.0000  0.32
Rh 0.3989 0.3989 0.0000  0.32

# 3
The following is a PBE calculation of a geometry-optimized CsTaTlCl6 structure, from Alexandria.

Properties
- Theoretical density: 3.49 g/cm3
- Magnetic moment: 0.111 μB/atom
- V: 695.9 Å³/cell
- Formation energy without anion corrections: -1.398 eV/atom
- Space group: P-31c

Lattice parameters (Å, degrees): 7.7167 7.7167 13.4946 90.00 90.00 120.00
Each line ends with the local moment (μB).
Positions (direct):
Cs 0.0000 0.0000 0.0000  0.00
Cs 0.0000 0.0000 0.5000  0.00
Ta 0.6667 0.3333 0.2500  0.72
Ta 0.3333 0.6667 0.7500  0.72
Tl 0.3333 0.6667 0.2500  0.01
Tl 0.6667 0.3333 0.7500  0.01
Cl 0.6614 0.5876 0.1462  0.00
Cl 0.9262 0.3386 0.1462  0.00
Cl 0.3386 0.9262 0.6462  0.00
Cl 0.0738 0.6614 0.8538  0.00
Cl 0.4124 0.3386 0.3538  0.00
Cl 0.9262 0.5876 0.3538  0.00
Cl 0.5876 0.9262 0.8538  0.00
Cl 0.6614 0.0738 0.3538  0.00
Cl 0.0738 0.4124 0.6462  0.00
Cl 0.4124 0.0738 0.1462  0.00
Cl 0.5876 0.6614 0.6462  0.00
Cl 0.3386 0.4124 0.8538  0.00

# 4
The following is a PBE calculation of a geometry-optimized TbNd6Y8 structure, from Alexandria.

Properties
- Theoretical density: 5.66 g/cm3
- Magnetic moment: 0.000 μB/atom
- V: 509.6 Å³/cell
- Space group: R-3
- Energy relative to the elements: 0.12 eV per atom

Lattice parameters (Å, degrees): 9.1587 9.1587 8.7849 58.58 58.58 60.00
Positions (direct):
Tb 0.0000 0.0000 0.0000
Nd 0.4614 0.8973 0.8702
Nd 0.1027 0.2288 0.1298
Nd 0.2288 0.5386 0.1298
Nd 0.7712 0.4614 0.8702
Nd 0.8973 0.7712 0.8702
Nd 0.5386 0.1027 0.1298
Y 0.2495 0.2838 0.5784
Y 0.7162 0.1117 0.4216
Y 0.1117 0.7505 0.4216
Y 0.5771 0.5771 0.2686
Y 0.4229 0.4229 0.7314
Y 0.8883 0.2495 0.5784
Y 0.2838 0.8883 0.5784
Y 0.7505 0.7162 0.4216

# 5
The following is a PBE calculation of a geometry-optimized RbMnCo2 structure, from Alexandria.

Properties
- Theoretical density: 4.70 g/cm3
- Magnetic moment: 0.311 μB/atom
- Energy above the lowest structure with this stoichiometry: 0.000 eV per atom
- V: 182.6 Å³/cell
- Space group: I4_1/amd
- Energy relative to the elements: 1.34 eV per atom

Lattice parameters (Å, degrees): 5.1085 5.1085 7.8738 71.07 71.07 90.00
Each line ends with the local moment (μB).
Positions (direct):
Mn 0.5000 0.5000 0.0000  -0.36
Mn 0.2500 0.7500 0.5000  -0.36
Co 0.3749 0.1250 0.2500  0.85
Co 0.3751 0.6250 0.2500  0.86
Co 0.3750 0.6251 0.7500  0.76
Co 0.8750 0.6249 0.7500  0.83
Rb 0.0000 0.0000 0.0000  0.00
Rb 0.7500 0.2500 0.5000  0.00

# 6
The following is a PBE calculation of a geometry-optimized KHoVBr6 structure, from Alexandria.

Properties
- Theoretical density: 3.84 g/cm3
- Magnetic moment: 0.333 μB/atom
- V: 635.9 Å³/cell
- Formation energy without anion corrections: -1.496 eV/atom
- Space group: P-31c

Lattice parameters (Å, degrees): 7.0152 7.0152 14.9206 90.00 90.00 120.00
Each line ends with the local moment (μB).
Positions (direct):
K 0.0000 0.0000 0.0000  0.00
K 0.0000 0.0000 0.5000  0.00
Ho 0.6667 0.3333 0.2500  0.02
Ho 0.3333 0.6667 0.7500  0.02
V 0.3333 0.6667 0.2500  2.60
V 0.6667 0.3333 0.7500  2.60
Br 0.6269 0.6426 0.1451  -0.01
Br 0.0158 0.3731 0.1451  -0.01
Br 0.3731 0.0158 0.6451  -0.01
Br 0.9842 0.6269 0.8549  -0.01
Br 0.3574 0.3731 0.3549  -0.01
Br 0.0158 0.6426 0.3549  -0.01
Br 0.6426 0.0158 0.8549  -0.01
Br 0.6269 0.9842 0.3549  -0.01
Br 0.9842 0.3574 0.6451  -0.01
Br 0.3574 0.9842 0.1451  -0.01
Br 0.6426 0.6269 0.6451  -0.01
Br 0.3731 0.3574 0.8549  -0.01

# 7
The following is a PBE calculation of a geometry-optimized K2PaTe2S6 structure, from Alexandria.

Properties
- Theoretical density: 3.51 g/cm3
- Magnetic moment: 0.073 μB/atom
- V: 358.5 Å³/cell
- Formation energy without anion corrections: -0.791 eV/atom
- Space group: C2/m

Lattice parameters (Å, degrees): 7.1787 8.1842 8.0523 118.89 90.00 116.01
Each line ends with the local moment (μB).
Positions (direct):
K 0.7300 0.4600 0.2172  0.00
K 0.2700 0.5400 0.7828  0.00
Pa 0.5000 0.0000 0.5000  0.03
Te 0.9615 0.9231 0.7506  0.16
Te 0.0385 0.0769 0.2494  0.16
S 0.6863 0.3726 0.5675  0.01
S 0.1598 0.8290 0.1925  0.02
S 0.3309 0.1710 0.8075  0.02
S 0.8402 0.1710 0.8075  0.02
S 0.6691 0.8290 0.1925  0.02
S 0.3137 0.6274 0.4325  0.01

# 8
The following is a PBE calculation of a geometry-optimized Sr3LaTb3Te8 structure, from Alexandria.

Properties
- Theoretical density: 5.96 g/cm3
- Magnetic moment: 0.000 μB/atom
- V: 529.5 Å³/cell
- Formation energy without anion corrections: -1.541 eV/atom
- Space group: R-3m

Lattice parameters (Å, degrees): 8.9637 8.9637 9.2028 119.14 90.00 120.00
Positions (direct):
Sr 0.0000 0.0000 0.0000
Sr 0.0000 0.5000 0.0000
Sr 0.5000 0.5000 0.0000
La 0.0000 0.0000 0.5000
Tb 0.5000 0.0000 0.5000
Tb 0.5000 0.5000 0.5000
Tb 0.0000 0.5000 0.5000
Te 0.2561 0.5121 0.2682
Te 0.7439 0.4879 0.7318
Te 0.7468 0.4935 0.2618
Te 0.2532 0.5065 0.7382
Te 0.7468 0.0150 0.2618
Te 0.2532 0.9850 0.7382
Te 0.2682 0.0150 0.2618
Te 0.7318 0.9850 0.7382

# 9
The following is a PBE calculation of a geometry-optimized Zr4RhBr structure, from Alexandria.

Properties
- Theoretical density: 6.93 g/cm3
- Magnetic moment: 0.000 μB/atom
- V: 131.2 Å³/cell
- Formation energy without anion corrections: 0.489 eV/atom
- Space group: F-43m

Lattice parameters (Å, degrees): 5.7036 5.7036 5.7036 60.00 60.00 60.00
Positions (direct):
Zr 0.8796 0.3735 0.3735
Zr 0.3735 0.3735 0.8796
Zr 0.3735 0.8796 0.3735
Zr 0.3735 0.3735 0.3735
Rh 0.0000 0.0000 0.0000
Br 0.7500 0.7500 0.7500

# 10
The following is a PBE calculation of a geometry-optimized Sm3HoN structure, from Alexandria.

Properties
- Theoretical density: 8.02 g/cm3
- Magnetic moment: 0.000 μB/atom
- V: 130.4 Å³/cell
- Formation energy without anion corrections: -0.480 eV/atom
- Space group: Pm-3m

Lattice parameters (Å, degrees): 5.0716 5.0716 5.0716 90.00 90.00 90.00
Positions (direct):
Ho 0.5000 0.5000 0.5000
Sm 0.0000 0.5000 0.0000
Sm 0.0000 0.0000 0.5000
Sm 0.5000 0.0000 0.0000
N 0.0000 0.0000 0.0000

# 11
The following is a PBE calculation of a geometry-optimized FeCuRe structure, from Alexandria.

Properties
- Theoretical density: 13.62 g/cm3
- Magnetic moment: 0.023 μB/atom
- Energy above the lowest structure with this stoichiometry: 0.003 eV per atom
- V: 37.3 Å³/cell
- Space group: Imm2
- Energy relative to the elements: 0.22 eV per atom

Lattice parameters (Å, degrees): 4.4761 4.4761 4.4761 145.48 132.26 60.24
Each line ends with the local moment (μB).
Positions (direct):
Cu 0.9979 0.9979 0.0000  0.00
Fe 0.3308 0.3308 0.0000  0.09
Re 0.6713 0.6713 0.0000  -0.01

# 12
The following is a PBE calculation of a geometry-optimized ZnTcSb structure, from Alexandria.

Properties
- Theoretical density: 8.59 g/cm3
- Magnetic moment: 0.090 μB/atom
- Energy above the lowest structure with this stoichiometry: 0.041 eV per atom
- V: 220.6 Å³/cell
- Formation energy without anion corrections: 0.040 eV/atom
- Space group: Cmce

Lattice parameters (Å, degrees): 5.1806 6.6660 6.9330 90.00 90.00 112.87
Each line ends with the local moment (μB).
Positions (direct):
Tc 0.6032 0.2065 0.5796  0.26
Tc 0.8968 0.7935 0.0796  0.26
Tc 0.3968 0.7935 0.4204  0.26
Tc 0.1032 0.2065 0.9204  0.26
Zn 0.3096 0.1192 0.2500  0.00
Zn 0.1904 0.8808 0.7500  0.00
Zn 0.6904 0.8808 0.7500  0.00
Zn 0.8096 0.1192 0.2500  0.00
Sb 0.8163 0.6326 0.4449  -0.01
Sb 0.6837 0.3674 0.9449  -0.01
Sb 0.1837 0.3674 0.5551  -0.01
Sb 0.3163 0.6326 0.0551  -0.01

# 13
The following is a PBE calculation of a geometry-optimized SrPr2NdSe4 structure, from Alexandria.

Properties
- Theoretical density: 6.17 g/cm3
- Magnetic moment: 0.000 μB/atom
- V: 223.4 Å³/cell
- Formation energy without anion corrections: -1.875 eV/atom
- Space group: P2/m

Lattice parameters (Å, degrees): 4.2643 7.4494 7.4417 70.93 90.00 90.00
Positions (direct):
Sr 0.5000 0.5000 0.0000
Pr 0.0000 0.0000 0.0000
Pr 0.5000 0.0000 0.5000
Nd 0.0000 0.5000 0.5000
Se 0.0000 0.7517 0.7462
Se 0.0000 0.2483 0.2538
Se 0.5000 0.7486 0.2526
Se 0.5000 0.2514 0.7474